(1)
## As4PPt (GGA-PBEsol)

Data for crystalline As4PPt at its relaxed geometry.

Results
Spin magnetization, μB/f.u.: 0.00
Crystal system: cubic
Formation energy, eV/atom: 0.81
SG: F-43m, No. 216

extended XYZ file:
```
6
Lattice="5.353 0.000 0.000 2.676 4.636 0.000 2.676 1.545 4.371" Properties=species:S:1:pos:R:3 pbc="T T T"
As 4.010 2.315 1.637
As 5.353 3.090 3.830
As 6.696 2.315 1.637
As 5.353 4.641 1.637
P 8.029 4.636 3.278
Pt 0.000 0.000 0.000
```

***

(2)
## AsPPt2 (GGA-PBEsol)

Data for crystalline AsPPt2 at its relaxed geometry.

Results
Polymorph energy (0 for the lowest one), eV per atom: 0.2727
Spin magnetization, μB/f.u.: 0.00
Crystal system: orthorhombic
Formation energy, eV/atom: -0.07
SG: Pmmm, No. 47

extended XYZ file:
```
4
Lattice="-0.584 -0.304 -2.724 -1.800 -2.863 0.706 -5.425 3.599 0.761" Properties=species:S:1:pos:R:3 pbc="T T T"
As -3.905 0.216 -0.629
P -0.900 -1.431 0.353
Pt -1.365 0.905 0.191
Pt -4.061 2.694 0.570
```

***

(3)
## AsPPt (GGA-PBEsol)

Data for crystalline AsPPt at its relaxed geometry.

Results
Spin magnetization, μB/f.u.: 0.00
Crystal system: cubic
Formation energy, eV/atom: -0.64
SG: P2_13, No. 198

extended XYZ file:
```
12
Lattice="-3.822 -0.668 4.357 -3.368 -3.278 -3.457 2.844 -4.779 1.762" Properties=species:S:1:pos:R:3 pbc="T T T"
As -2.325 -4.818 -1.879
As -4.351 -2.403 2.728
As 0.658 -4.864 2.839
As -2.673 -5.367 1.638
P -2.025 -3.898 4.550
P 0.019 -6.324 -0.064
P -5.007 -3.859 -0.189
P -1.678 -3.370 1.028
Pt -3.563 -2.045 0.391
Pt -0.587 -2.715 3.051
Pt -0.238 -4.050 -0.754
Pt -4.303 -8.640 2.637
```

***

(4)
## AsP2Pt (GGA-PBEsol)

Data for crystalline AsP2Pt at its relaxed geometry.

Results
Spin magnetization, μB/f.u.: 0.00
Crystal system: orthorhombic
Formation energy, eV/atom: 0.25
SG: Immm, No. 71

extended XYZ file:
```
4
Lattice="-0.496 -1.701 2.119 -0.175 -3.735 -3.039 4.991 2.050 1.013" Properties=species:S:1:pos:R:3 pbc="T T T"
As -0.248 -0.851 1.060
P 1.715 -3.013 -0.216
P 2.605 -0.374 0.310
Pt -0.087 -1.868 -1.520
```

***

(5)
## Sn2AsPPt (GGA-PBEsol)

Data for crystalline Sn2AsPPt at its relaxed geometry.

Results
Spin magnetization, μB/f.u.: 0.00
Crystal system: tetragonal
Formation energy, eV/atom: 0.93
SG: P4/mmm, No. 123

extended XYZ file:
```
5
Lattice="-0.951 4.111 1.519 -3.811 -1.957 2.909 3.329 -0.674 3.908" Properties=species:S:1:pos:R:3 pbc="T T T"
P -0.476 2.056 0.760
As 0.000 0.000 0.000
Sn 1.665 -0.337 1.954
Sn -1.905 -0.978 1.454
Pt -0.716 0.740 4.168
```

***

(6)
## RbAsP3 (GGA-PBEsol)

Data for crystalline RbAsP3 at its relaxed geometry.

Results
Spin magnetization, μB/f.u.: 0.00
Crystal system: cubic
Formation energy, eV/atom: 0.64
SG: Pm-3m, No. 221

extended XYZ file:
```
5
Lattice="4.887 0.000 0.000 0.000 4.887 0.000 0.000 0.000 4.887" Properties=species:S:1:pos:R:3 pbc="T T T"
P 0.000 2.443 0.000
P 0.000 0.000 2.443
P 2.443 0.000 0.000
As 0.000 0.000 0.000
Rb 2.443 2.443 2.443
```

***

(7)
## ReAsP3 (GGA-PBEsol)

Data for crystalline ReAsP3 at its relaxed geometry.

Results
Spin magnetization, μB/f.u.: 0.00
Crystal system: cubic
Formation energy, eV/atom: 0.73
SG: Pm-3m, No. 221

extended XYZ file:
```
5
Lattice="-3.278 3.175 0.330 -2.668 -2.465 -2.782 -1.753 -2.186 3.617" Properties=species:S:1:pos:R:3 pbc="T T T"
Re 0.000 0.000 0.000
As -3.849 -0.738 0.582
P -1.334 -1.233 -1.391
P -0.876 -1.093 1.809
P -1.639 1.587 0.165
```

***

(8)
## ReAsP2 (GGA-PBEsol)

Data for crystalline ReAsP2 at its relaxed geometry.

Results
Spin magnetization, μB/f.u.: 0.00
Crystal system: monoclinic
Formation energy, eV/atom: 0.39
SG: C2/m, No. 12

extended XYZ file:
```
4
Lattice="-3.903 -0.070 1.261 2.530 -1.549 3.211 1.103 4.136 -0.890" Properties=species:S:1:pos:R:3 pbc="T T T"
As -0.135 1.258 1.791
P 1.265 -0.775 1.606
P 0.551 2.068 -0.445
Re -1.951 -0.035 0.631
```